1.
# SiPt

A relaxed structure of SiPt (PBE, Alexandria).

abc: 3.529 4.121 4.924
angles: 67.38 75.72 83.56
Space group P-1 (No. 2)
Inequivalent atoms, fractional coordinates:
Si: 0.131 0.439 0.277
Pt: 0.298 0.919 0.796

**E_form (uncorrected)**: -505 meV/atom
**Theoretical density**: 11.57 g cm⁻³
**Electronic total energy**: -24.95 eV/cell
**N(E_F)**: 0.22 states/eV/atom

=====

2.
# SiPt

A relaxed structure of SiPt (PBE, Alexandria).

abc: 9.734 4.332 5.334
angles: 90.00 90.00 90.00
Space group Pmn2_1 (No. 31)
Inequivalent atoms, fractional coordinates:
Si: 0.000 0.241 0.000
Si: 0.197 0.431 0.335
Pt: 0.000 0.722 0.225
Pt: 0.229 0.078 0.975

**E_form (uncorrected)**: -376 meV/atom
**Theoretical density**: 9.89 g cm⁻³
**Electronic total energy**: -73.29 eV/cell
**N(E_F)**: 0.36 states/eV/atom

=====

3.
# Si2Pt5

A relaxed structure of Si2Pt5 (PBE, Alexandria).

abc: 13.481 6.138 5.407
angles: 90.00 105.11 90.00
Space group C2/c (No. 15)
Inequivalent atoms, fractional coordinates:
Si: 0.115 0.244 0.096
Pt: 0.000 0.037 0.750
Pt: 0.090 0.376 0.495
Pt: 0.216 0.067 0.834

**E_form (uncorrected)**: -530 meV/atom
**Theoretical density**: 15.86 g cm⁻³
**Electronic total energy**: -179.05 eV/cell
**N(E_F)**: 0.43 states/eV/atom

=====

4.
# Si23Pt

A relaxed structure of Si23Pt (PBE, Alexandria).

abc: 10.184 10.184 10.184
angles: 90.00 90.00 90.00
Space group Pm-3n (No. 223)
Inequivalent atoms, fractional coordinates:
Si: 0.000 0.116 0.309
Si: 0.000 0.250 0.500
Si: 0.181 0.181 0.181
Pt: 0.000 0.000 0.000

**E_form (uncorrected)**: 141 meV/atom
**Theoretical density**: 2.64 g cm⁻³
**Electronic total energy**: -254.75 eV/cell
**N(E_F)**: 0.25 states/eV/atom

=====

5.
# SiPt

A relaxed structure of SiPt (PBE, Alexandria).

abc: 5.659 3.624 5.993
angles: 90.00 90.00 90.00
Space group Pnma (No. 62)
Inequivalent atoms, fractional coordinates:
Si: 0.178 0.250 0.083
Pt: 0.006 0.750 0.306

**E_form (uncorrected)**: -684 meV/atom
**Theoretical density**: 12.06 g cm⁻³
**Electronic total energy**: -51.33 eV/cell
**N(E_F)**: 0.20 states/eV/atom

=====

6.
# SiPt

A relaxed structure of SiPt (PBE, Alexandria).

abc: 2.837 4.708 8.793
angles: 90.00 90.00 90.00
Space group Imma (No. 74)
Inequivalent atoms, fractional coordinates:
Si: 0.000 0.250 0.134
Pt: 0.000 0.250 0.600

**E_form (uncorrected)**: -240 meV/atom
**Theoretical density**: 12.62 g cm⁻³
**Electronic total energy**: -47.77 eV/cell
**N(E_F)**: 0.38 states/eV/atom

=====

7.
# Si3Pt5

A relaxed structure of Si3Pt5 (PBE, Alexandria).

abc: 7.1699 7.1699 5.5888
angles: 90.00 90.00 120.00
Space group P6_3/mcm (No. 193)
Inequivalent atoms, fractional coordinates:
Si: 0.0000 0.3730 0.2500
Pt: 0.0000 0.2844 0.7500
Pt: 0.3333 0.6667 0.0000

**Relative energy among the computed polymorphs**: 214 meV per atom
**E_form (uncorrected)**: -379 meV/atom
**Theoretical density**: 14.14 g cm⁻³
**Electronic total energy**: -99.01 eV/cell
**N(E_F)**: 0.40 states/eV/atom

=====

8.
# SiPt

A relaxed structure of SiPt (PBE, Alexandria).

abc: 9.0189 9.0189 3.8513
angles: 90.00 90.00 120.00
Space group P6_3/m (No. 176)
Inequivalent atoms, fractional coordinates:
Si: 0.0824 0.3702 0.2500
Pt: 0.0671 0.6382 0.2500

**E_form (uncorrected)**: -402 meV/atom
**Theoretical density**: 8.20 g cm⁻³
**Electronic total energy**: -73.60 eV/cell
**N(E_F)**: 0.33 states/eV/atom

=====

9.
# SiPt

A relaxed structure of SiPt (PBE, Alexandria).

abc: 3.1732 3.1732 21.7482
angles: 90.00 90.00 120.00
Space group R-3m (No. 166, hexagonal axes)
Inequivalent atoms, fractional coordinates:
Si: 0.0000 0.0000 0.1235
Pt: 0.0000 0.0000 0.3854

**E_form (uncorrected)**: -280 meV/atom
**Theoretical density**: 11.72 g cm⁻³
**Electronic total energy**: -72.14 eV/cell
**N(E_F)**: 0.56 states/eV/atom

=====

10.
# SiPt

A relaxed structure of SiPt (PBE, Alexandria).

abc: 8.246 3.505 6.949
angles: 90.00 110.74 90.00
Space group Cm (No. 8)
Inequivalent atoms, fractional coordinates:
Si: 0.000 0.000 0.000
Si: 0.028 0.000 0.615
Si: 0.363 0.000 0.285
Pt: 0.143 0.500 0.259
Pt: 0.184 0.500 0.874
Pt: 0.320 0.000 0.618

**E_form (uncorrected)**: -428 meV/atom
**Theoretical density**: 11.84 g cm⁻³
**Electronic total energy**: -73.92 eV/cell
**N(E_F)**: 0.31 states/eV/atom

=====

11.
# SiPt5

A relaxed structure of SiPt5 (PBE, Alexandria).

abc: 3.893 11.573 4.049
angles: 90.00 90.00 90.00
Space group Cmmm (No. 65)
Inequivalent atoms, fractional coordinates:
Si: 0.000 0.000 0.000
Pt: 0.000 0.165 0.500
Pt: 0.000 0.346 0.000
Pt: 0.000 0.500 0.500

**Relative energy among the computed polymorphs**: 57 meV per atom
**E_form (uncorrected)**: -224 meV/atom
**Theoretical density**: 18.27 g cm⁻³
**Electronic total energy**: -73.94 eV/cell
**N(E_F)**: 1.12 states/eV/atom

=====

12.
# SiPt

A relaxed structure of SiPt (PBE, Alexandria).

abc: 7.674 3.298 6.132
angles: 90.00 125.62 90.00
Space group Cm (No. 8)
Inequivalent atoms, fractional coordinates:
Si: 0.000 0.000 0.000
Si: 0.135 0.500 0.457
Pt: 0.318 0.500 0.218
Pt: 0.443 0.000 0.678

**E_form (uncorrected)**: -507 meV/atom
**Theoretical density**: 11.75 g cm⁻³
**Electronic total energy**: -49.91 eV/cell
**N(E_F)**: 0.28 states/eV/atom

=====

13.
# SiPt

A relaxed structure of SiPt (PBE, Alexandria).

abc: 3.7369 3.7369 6.5973
angles: 90.00 90.00 120.00
Space group P6_3mc (No. 186)
Inequivalent atoms, fractional coordinates:
Si: 0.3333 0.6667 0.0000
Pt: 0.3333 0.6667 0.3615

**E_form (uncorrected)**: -399 meV/atom
**Theoretical density**: 9.29 g cm⁻³
**Electronic total energy**: -24.53 eV/cell
**N(E_F)**: 0.51 states/eV/atom

=====

14.
# SiPt

A relaxed structure of SiPt (PBE, Alexandria).

abc: 3.7325 3.7325 2.6818
angles: 90.00 90.00 120.00
Space group P-6m2 (No. 187)
Inequivalent atoms, fractional coordinates:
Si: 0.0000 0.0000 0.0000
Pt: 0.6667 0.3333 0.5000

**E_form (uncorrected)**: -480 meV/atom
**Theoretical density**: 11.45 g cm⁻³
**Electronic total energy**: -12.42 eV/cell
**N(E_F)**: 0.29 states/eV/atom

=====

15.
# SiPt

A relaxed structure of SiPt (PBE, Alexandria).

abc: 11.099 3.325 4.985
angles: 90.00 104.91 90.00
Space group C2/m (No. 12)
Inequivalent atoms, fractional coordinates:
Si: 0.000 0.000 0.000
Si: 0.169 0.500 0.781
Pt: 0.000 0.000 0.500
Pt: 0.166 0.500 0.266

**E_form (uncorrected)**: -543 meV/atom
**Theoretical density**: 12.51 g cm⁻³
**Electronic total energy**: -75.30 eV/cell
**N(E_F)**: 0.23 states/eV/atom

=====

16.
# Si3Pt4

A relaxed structure of Si3Pt4 (PBE, Alexandria).

abc: 3.336 3.336 18.737
angles: 90.00 90.00 90.00
Space group I4/mmm (No. 139)
Inequivalent atoms, fractional coordinates:
Si: 0.000 0.000 0.000
Si: 0.000 0.000 0.295
Pt: 0.000 0.000 0.166
Pt: 0.000 0.000 0.429

**Relative energy among the computed polymorphs**: 0 meV per atom
**E_form (uncorrected)**: -494 meV/atom
**Theoretical density**: 13.77 g cm⁻³
**Electronic total energy**: -87.78 eV/cell
**N(E_F)**: 0.35 states/eV/atom

=====

17.
# SiPt

A relaxed structure of SiPt (PBE, Alexandria).

abc: 6.652 6.652 6.652
angles: 90.00 90.00 90.00
Space group Pm-3n (No. 223)
Inequivalent atoms, fractional coordinates:
Si: 0.000 0.250 0.500
Pt: 0.000 0.500 0.250

**E_form (uncorrected)**: -277 meV/atom
**Theoretical density**: 7.55 g cm⁻³
**Electronic total energy**: -72.11 eV/cell
**N(E_F)**: 0.52 states/eV/atom

=====

18.
# SiPt

A relaxed structure of SiPt (PBE, Alexandria).

abc: 2.9518 2.9518 11.6255
angles: 90.00 90.00 120.00
Space group R-3m (No. 166, hexagonal axes)
Inequivalent atoms, fractional coordinates:
Si: 0.0000 0.0000 0.0000
Pt: 0.0000 0.0000 0.5000

**E_form (uncorrected)**: -359 meV/atom
**Theoretical density**: 12.67 g cm⁻³
**Electronic total energy**: -36.55 eV/cell
**N(E_F)**: 0.58 states/eV/atom

=====

19.
# Si23Pt3

A relaxed structure of Si23Pt3 (PBE, Alexandria).

abc: 10.069 10.069 10.069
angles: 90.00 90.00 90.00
Space group Pm-3n (No. 223)
Inequivalent atoms, fractional coordinates:
Si: 0.000 0.115 0.313
Si: 0.000 0.250 0.500
Si: 0.184 0.184 0.184
Pt: 0.000 0.500 0.250

**E_form (uncorrected)**: 377 meV/atom
**Theoretical density**: 4.01 g cm⁻³
**Electronic total energy**: -266.09 eV/cell
**N(E_F)**: 0.78 states/eV/atom

=====

20.
# SiPt7

A relaxed structure of SiPt7 (PBE, Alexandria).

abc: 7.891 7.891 7.891
angles: 90.00 90.00 90.00
Space group Fm-3m (No. 225)
Inequivalent atoms, fractional coordinates:
Si: 0.000 0.000 0.000
Pt: 0.000 0.000 0.500
Pt: 0.000 0.250 0.250

**E_form (uncorrected)**: -174 meV/atom
**Theoretical density**: 18.84 g cm⁻³
**Electronic total energy**: -196.40 eV/cell
**N(E_F)**: 1.28 states/eV/atom